Material: CrInBF6
Method: DFT, PBE with a Hubbard U
State: relaxed

a = 4.8847 Å, b = 5.6138 Å, c = 6.3009 Å
α = 95.67°, β = 100.34°, γ = 104.02°
Last column: nearest neighbours and their distance in Å.
Fractional coordinates of all 9 atoms:
Cr (0.0000, 0.0000, 0.0000)  4 F 1.95-2.13
In (0.7195, 0.2015, 0.4137)  2 F 2.27-2.36
B (0.3934, 0.5455, 0.8840)  4 F 1.38-1.45
F (0.2006, 0.6930, 0.8460)  1 B 1.40
F (0.2311, 0.9811, 0.2833)  1 Cr 1.96
F (0.2791, 0.3544, 0.0080)  1 B 1.45
F (0.4400, 0.4387, 0.6910)  1 B 1.38
F (0.6617, 0.6894, 0.0248)  1 B 1.44
F (0.7619, 0.0297, 0.7250)  1 Cr 1.95

Values from the calculation:
Space group: P1 (1)
N(E_F), states/eV per cell: 0.00
Raw total energy, eV for the cell shown: -50.43